--- one ---
Material: LiTeAs2Se
Method: DFT, PBE
State: relaxed

Cell: 4.765 4.765 4.630 Å, 90.00 90.00 90.00°
Positions (direct):
Li 0.000 0.000 0.000
Te 0.500 0.500 0.500
As 0.000 0.500 0.000
As 0.500 0.000 0.000
Se 0.000 0.000 0.500

- SG = P4/mmm, No. 123



--- two ---
Material: LiTeAs2Se
Method: DFT, PBE
State: relaxed

Cell: 5.085 5.085 5.541 Å, 90.00 90.00 90.00°
Positions (direct):
Li 0.000 0.000 0.000
Te 0.500 0.500 0.000
As 0.000 0.500 0.500
As 0.500 0.000 0.500
Se 0.500 0.500 0.500

- SG = P4/mmm, No. 123



Winner for stability: one



--- one ---
Material: LiTiAsSe2
Method: DFT, PBE
State: relaxed

Cell: 4.682 4.682 4.395 Å, 90.00 90.00 90.00°
Positions (direct):
Li 0.000 0.000 0.000
Ti 0.500 0.500 0.500
As 0.000 0.000 0.500
Se 0.000 0.500 0.000
Se 0.500 0.000 0.000

- SG = P4/mmm, No. 123



--- two ---
Material: LiTiAsSe2
Method: DFT, PBE
State: relaxed

Cell: 4.984 4.984 4.925 Å, 90.00 90.00 90.00°
Positions (direct):
Li 0.000 0.000 0.000
Ti 0.500 0.500 0.500
As 0.500 0.500 0.000
Se 0.000 0.500 0.500
Se 0.500 0.000 0.500

- SG = P4/mmm, No. 123



Winner for stability: two



--- one ---
Material: LiTiAs2Se
Method: DFT, PBE
State: relaxed

Cell: 4.422 4.422 4.821 Å, 90.00 90.00 90.00°
Positions (direct):
Li 0.000 0.000 0.000
Ti 0.500 0.500 0.500
As 0.000 0.500 0.000
As 0.500 0.000 0.000
Se 0.000 0.000 0.500

- SG = P4/mmm, No. 123



--- two ---
Material: LiTiAs2Se
Method: DFT, PBE
State: relaxed

Cell: 4.906 4.906 5.009 Å, 90.00 90.00 90.00°
Positions (direct):
Li 0.000 0.000 0.000
Ti 0.500 0.500 0.500
As 0.000 0.500 0.500
As 0.500 0.000 0.500
Se 0.500 0.500 0.000

- SG = P4/mmm, No. 123



Winner for stability: two



--- one ---
Material: LiAsWSe2
Method: DFT, PBE
State: relaxed

Cell: 4.550 4.550 4.329 Å, 90.00 90.00 90.00°
Positions (direct):
Li 0.000 0.000 0.000
As 0.000 0.000 0.500
W 0.500 0.500 0.500
Se 0.000 0.500 0.000
Se 0.500 0.000 0.000

- SG = P4/mmm, No. 123



--- two ---
Material: LiAsWSe2
Method: DFT, PBE
State: relaxed

Cell: 5.020 5.020 4.898 Å, 90.00 90.00 90.00°
Positions (direct):
Li 0.000 0.000 0.000
As 0.500 0.500 0.000
W 0.500 0.500 0.500
Se 0.000 0.500 0.500
Se 0.500 0.000 0.500

- SG = P4/mmm, No. 123



Winner for stability: two



--- one ---
Material: LiYAs2Se
Method: DFT, PBE
State: relaxed

Cell: 4.470 4.470 5.199 Å, 90.00 90.00 90.00°
Positions (direct):
Li 0.000 0.000 0.000
Y 0.500 0.500 0.500
As 0.000 0.500 0.000
As 0.500 0.000 0.000
Se 0.000 0.000 0.500

- SG = P4/mmm, No. 123



--- two ---
Material: LiYAs2Se
Method: DFT, PBE
State: relaxed

Cell: 5.457 5.457 5.491 Å, 90.00 90.00 90.00°
Positions (direct):
Li 0.000 0.000 0.000
Y 0.500 0.500 0.500
As 0.000 0.500 0.500
As 0.500 0.000 0.500
Se 0.500 0.500 0.000

- SG = P4/mmm, No. 123



Winner for stability: one



--- one ---
Material: LiZrAs2Se
Method: DFT, PBE
State: relaxed

Cell: 5.222 5.222 5.256 Å, 90.00 90.00 90.00°
Positions (direct):
Li 0.000 0.000 0.000
Zr 0.500 0.500 0.500
As 0.000 0.500 0.500
As 0.500 0.000 0.500
Se 0.500 0.500 0.000

- SG = P4/mmm, No. 123



--- two ---
Material: LiZrAs2Se
Method: DFT, PBE
State: relaxed

Cell: 4.350 4.350 5.127 Å, 90.00 90.00 90.00°
Positions (direct):
Li 0.000 0.000 0.000
Zr 0.500 0.500 0.500
As 0.000 0.500 0.000
As 0.500 0.000 0.000
Se 0.000 0.000 0.500

- SG = P4/mmm, No. 123



--- three ---
Material: LiZrAs2Se
Method: DFT, PBE
State: relaxed

Cell: 5.139 5.139 4.159 Å, 90.00 90.00 90.00°
Positions (direct):
Li 0.000 0.000 0.000
Zr 0.500 0.500 0.000
As 0.000 0.500 0.500
As 0.500 0.000 0.500
Se 0.000 0.000 0.500

- SG = P4/mmm, No. 123



Winner for stability: one